VASP calculation (PBE with a Hubbard U) on crystalline NiSe2O2 at its relaxed geometry.

Cell lengths 5.810, 5.810, 4.289 Å; angles 90.00, 90.00, 90.00 degrees
Space group P4/mbm (No. 127)
Asymmetric unit:
Ni (0.000, 0.000, 0.000) [2 per cell]
Se (0.249, 0.251, 0.500) [4 per cell]
O (0.248, 0.252, 0.000) [4 per cell]

Calculated values
- Volume: 144.8 Å³/cell
- E_tot: -3.9693 eV per atom